ZrTiCo2F | PBE+U | relaxed

```
data_ZrTiCo2F
_cell_length_a 4.632
_cell_length_b 4.056
_cell_length_c 4.632
_cell_angle_alpha 90.00
_cell_angle_beta 90.00
_cell_angle_gamma 90.00
_symmetry_space_group_name_H-M 'P 1'
_symmetry_Int_Tables_number 1
loop_
_symmetry_equiv_pos_as_xyz
'x,y,z'
loop_
_atom_site_label
_atom_site_fract_x
_atom_site_fract_y
_atom_site_fract_z
F1 0.000 0.500 0.000
Co1 0.000 0.000 0.500
Co2 0.500 0.000 0.000
Zr1 0.000 0.000 0.000
Ti1 0.500 0.500 0.500
```

The value obtained for the uncorrected energy is -5.1801 eV/atom. For the density of states at the Fermi level, the calculation gives 0.903 states/eV/atom.